Entry 1:
First-principles (GGA-PBE) data for a relaxed structure of LaReRu2, as listed in Alexandria.

The calculation puts the formation enthalpy at 0 K at 0.437 eV per atom.

The space group is P-1 (No. 2) and the conventional cell measures 2.9841, 4.8734 and 4.8768 Å, with angles of 82.88, 89.43 and 88.99 degrees. The asymmetric unit holds La at (0.0000, 0.0000, 0.0000), Re at (0.0000, 0.5000, 0.5000), Ru at (0.5000, 0.0000, 0.5000) and Ru at (0.5000, 0.5000, 0.0000).


Entry 2:
First-principles (GGA-PBE) data for a relaxed structure of TmIn2Ni, as listed in Alexandria.

The calculation puts the formation enthalpy at 0 K at -0.208 eV per atom.

The space group is P4/mmm (No. 123) and the conventional cell measures 4.2559, 4.2559 and 4.6174 Å, with angles of 90.00, 90.00 and 90.00 degrees. The asymmetric unit holds Tm at (0.0000, 0.0000, 0.0000), In at (0.0000, 0.5000, 0.5000) and Ni at (0.5000, 0.5000, 0.0000).


Entry 3:
First-principles (GGA-PBE) data for a relaxed structure of PuZn4Ga, as listed in Alexandria.

The calculation puts the formation enthalpy at 0 K at -0.071 eV per atom.

The space group is Pmma (No. 51) and the conventional cell measures 6.9871, 4.3024 and 7.3228 Å, with angles of 90.00, 90.00 and 90.00 degrees. The asymmetric unit holds Pu at (0.2500, 0.0000, 0.1351), Zn at (0.0000, 0.0000, 0.5000), Zn at (0.0551, 0.5000, 0.8245), Zn at (0.2500, 0.5000, 0.4309) and Ga at (0.2500, 0.0000, 0.7381).


Entry 4:
First-principles (GGA-PBE) data for a relaxed structure of Pu3Te2S2, as listed in Alexandria.

The total energy comes out at -133.98 eV for the cell shown.

The space group is C2/m (No. 12) and the conventional cell measures 15.0308, 4.3186 and 7.4032 Å, with angles of 90.00, 111.62 and 90.00 degrees. The asymmetric unit holds Pu at (0.0000, 0.0000, 0.0000), Pu at (0.2266, 0.5000, 0.7561), Te at (0.1256, 0.5000, 0.2987) and S at (0.1463, 0.0000, 0.8617).


Entry 5:
First-principles (GGA-PBE) data for a relaxed structure of Sm2InC, as listed in Alexandria.

The calculation puts the formation enthalpy at 0 K at -0.107 eV per atom.

The space group is R-3m (No. 166, hexagonal axes) and the conventional cell measures 3.6191, 3.6191 and 28.2747 Å, with angles of 90.00, 90.00 and 120.00 degrees. The asymmetric unit holds Sm at (0.0000, 0.0000, 0.1180), In at (0.0000, 0.0000, 0.0000) and C at (0.0000, 0.0000, 0.5000).


Entry 6:
First-principles (GGA-PBE) data for a relaxed structure of La2ScCl, as listed in Alexandria.

The total energy comes out at -40.74 eV for the cell shown.

The space group is Cmmm (No. 65) and the conventional cell measures 4.1738, 5.7701 and 9.7418 Å, with angles of 90.00, 90.00 and 90.00 degrees. The asymmetric unit holds La at (0.0000, 0.0000, 0.2382), Sc at (0.0000, 0.5000, 0.5000) and Cl at (0.0000, 0.5000, 0.0000).